Material: BaZr2TaNb
Method: DFT, PBE
State: relaxed

Computed properties:
Calculated volume, Å³/cell: 146.3
ρ, Mg/m³: 6.736
Space-group type: P4/mmm (123)
Calculated formation energy, eV per formula unit: 8.19

Structure (POSCAR):
```
BaZr2TaNb
1.0
5.133 0.000 0.000
0.000 5.133 0.000
0.000 0.000 5.554
Ba Zr Ta Nb
1 2 1 1
direct
0.000 0.000 0.000 Ba
0.000 0.500 0.500 Zr
0.500 0.000 0.500 Zr
0.500 0.500 0.000 Ta
0.000 0.000 0.500 Nb
```